(1)
A plane-wave DFT calculation with PBE was carried out for a relaxed structure of Na4HfB2.

Output
Calculated total energy, eV/atom: -2.765
Total magnetization, μB per cell: 0.052

abc: 7.2008 7.2008 2.7678
angles: 90.00 90.00 95.91
Sites, in units of the cell vectors:
Na 0.7150 0.2850 0.0000
Na 0.6936 0.6936 0.5000
Na 0.3064 0.3064 0.5000
Na 0.2850 0.7150 0.0000
B 0.0000 0.5000 0.5000
B 0.5000 0.0000 0.5000
Hf 0.0000 0.0000 0.0000



(2)
A plane-wave DFT calculation with PBE was carried out for a relaxed structure of NaHfNiB.

Output
Calculated total energy, eV/atom: -5.349
Total magnetization, μB per cell: 0.000

abc: 4.2065 4.2065 4.2065
angles: 60.00 60.00 60.00
Sites, in units of the cell vectors:
Na 0.7500 0.7500 0.7500
Hf 0.0000 0.0000 0.0000
B 0.5000 0.5000 0.5000
Ni 0.2500 0.2500 0.2500



(3)
A plane-wave DFT calculation with PBE was carried out for a relaxed structure of NaHfNiB.

Output
Calculated total energy, eV/atom: -5.432
Total magnetization, μB per cell: 0.006

abc: 4.3222 4.3222 4.3222
angles: 60.00 60.00 60.00
Sites, in units of the cell vectors:
B 0.0000 0.0000 0.0000
Hf 0.2500 0.2500 0.2500
Na 0.7500 0.7500 0.7500
Ni 0.5000 0.5000 0.5000



(4)
A plane-wave DFT calculation with PBE was carried out for a relaxed structure of NaHfBPt.

Output
Calculated total energy, eV/atom: -5.838
Total magnetization, μB per cell: 0.000

abc: 4.4710 4.4710 4.4710
angles: 60.00 60.00 60.00
Sites, in units of the cell vectors:
Hf 0.2500 0.2500 0.2500
Na 0.7500 0.7500 0.7500
Pt 0.5000 0.5000 0.5000
B 0.0000 0.0000 0.0000



(5)
A plane-wave DFT calculation with PBE was carried out for a relaxed structure of NaHfBPt.

Output
Calculated total energy, eV/atom: -5.827
Total magnetization, μB per cell: 0.002

abc: 4.3745 4.3745 4.3745
angles: 60.00 60.00 60.00
Sites, in units of the cell vectors:
B 0.5000 0.5000 0.5000
Pt 0.2500 0.2500 0.2500
Hf 0.0000 0.0000 0.0000
Na 0.7500 0.7500 0.7500



(6)
A plane-wave DFT calculation with PBE was carried out for a relaxed structure of HfNbB4.

Output
Calculated total energy, eV/atom: -8.656
Total magnetization, μB per cell: 0.001

abc: 3.1280 3.1280 6.8077
angles: 90.00 90.00 120.00
Sites, in units of the cell vectors:
Nb 0.0000 0.0000 0.0000
B 0.3333 0.6667 0.2462
B 0.3333 0.6667 0.7538
B 0.6667 0.3333 0.2462
B 0.6667 0.3333 0.7538
Hf 0.0000 0.0000 0.5000



(7)
A plane-wave DFT calculation with PBE was carried out for a relaxed structure of HfNb2B.

Output
Calculated total energy, eV/atom: -8.832
Total magnetization, μB per cell: 0.000

abc: 4.5029 4.5029 4.5029
angles: 60.00 60.00 60.00
Sites, in units of the cell vectors:
Nb 0.0000 0.0000 0.0000
Nb 0.7500 0.7500 0.7500
B 0.5000 0.5000 0.5000
Hf 0.2500 0.2500 0.2500



(8)
A plane-wave DFT calculation with PBE was carried out for a relaxed structure of HfNbB2.

Output
Calculated total energy, eV/atom: -7.097
Total magnetization, μB per cell: 0.001

abc: 4.2153 4.2153 4.2153
angles: 60.00 60.00 60.00
Sites, in units of the cell vectors:
Hf 0.5000 0.5000 0.5000
Nb 0.7500 0.7500 0.7500
B 0.0000 0.0000 0.0000
B 0.2500 0.2500 0.2500



Please write out number 2 again, unchanged.
A plane-wave DFT calculation with PBE was carried out for a relaxed structure of NaHfNiB.

Output
Calculated total energy, eV/atom: -5.349
Total magnetization, μB per cell: 0.000

abc: 4.2065 4.2065 4.2065
angles: 60.00 60.00 60.00
Sites, in units of the cell vectors:
Na 0.7500 0.7500 0.7500
Hf 0.0000 0.0000 0.0000
B 0.5000 0.5000 0.5000
Ni 0.2500 0.2500 0.2500